# PBE Hf5Ti2Co4, relaxed
data_Hf5Ti2Co4
_chemical_formula_sum 'Hf5 Ti2 Co4'
_symmetry_space_group_name_H-M 'P 1'
_symmetry_Int_Tables_number 1
_symmetry_space_group_name_Hall 'P 1'
_cell_length_a 3.1773
_cell_length_b 6.7695
_cell_length_c 9.2428
_cell_angle_alpha 95.58
_cell_angle_beta 99.90
_cell_angle_gamma 90.00
loop_
_atom_site_label
_atom_site_fract_x
_atom_site_fract_y
_atom_site_fract_z
Co1 0.0105 0.3095 0.0210
Co2 0.9895 0.6905 0.9790
Co3 0.2961 0.4809 0.5923
Co4 0.7039 0.5191 0.4077
Hf1 0.7971 0.1745 0.5942
Hf2 0.8528 0.7596 0.7056
Hf3 0.1472 0.2404 0.2944
Hf4 0.2029 0.8255 0.4058
Hf5 0.5000 0.0000 0.0000
Ti1 0.4225 0.4326 0.8450
Ti2 0.5775 0.5674 0.1550
# Total DFT energy (no corrections) (eV per atom): -8.67

# PBE La3ZrOs, relaxed
data_La3ZrOs
_chemical_formula_sum 'La3 Zr1 Os1'
_symmetry_space_group_name_H-M 'P 1'
_symmetry_Int_Tables_number 1
_symmetry_space_group_name_Hall 'P 1'
_cell_length_a 5.4195
_cell_length_b 5.4195
_cell_length_c 5.4195
_cell_angle_alpha 90.00
_cell_angle_beta 90.00
_cell_angle_gamma 90.00
loop_
_atom_site_label
_atom_site_fract_x
_atom_site_fract_y
_atom_site_fract_z
La1 0.5000 0.0000 0.0000
La2 0.0000 0.5000 0.0000
La3 0.0000 0.0000 0.5000
Os1 0.5000 0.5000 0.5000
Zr1 0.0000 0.0000 0.0000
# Total DFT energy (no corrections) (eV per atom): -5.59
# ΔE to the lowest computed polymorph (meV per atom): 986